Model A:
! Y2TlO, relaxed, DFT GGA-PBE; values from VASP
&SYSTEM
  ibrav = 0, nat = 4, ntyp = 3
/
ATOMIC_SPECIES
Tl 204.38 Tl.upf
Y 88.91 Y.upf
O 16.00 O.upf
CELL_PARAMETERS angstrom
0.0000 3.5687 3.5687
3.5687 0.0000 3.5687
3.5687 3.5687 0.0000
ATOMIC_POSITIONS angstrom
Tl 3.5687 3.5687 3.5687
Y 5.3530 5.3530 5.3530
Y 1.7843 1.7843 1.7843
O 0.0000 0.0000 0.0000
! volume	91	Å³/f.u.
! symmetry	Fm-3m, No. 225

=====

Model B:
! Y2TlO, relaxed, DFT GGA-PBE; values from VASP
&SYSTEM
  ibrav = 0, nat = 4, ntyp = 3
/
ATOMIC_SPECIES
Y 88.91 Y.upf
O 16.00 O.upf
Tl 204.38 Tl.upf
CELL_PARAMETERS angstrom
3.1621 0.0000 0.0000
0.0000 3.1621 0.0000
0.0000 0.0000 7.9164
ATOMIC_POSITIONS angstrom
Y 0.0000 0.0000 1.5528
O 1.5811 1.5811 0.0000
Y 0.0000 0.0000 6.3635
Tl 1.5811 1.5811 3.9582
! volume	79	Å³/f.u.
! symmetry	P4/mmm, No. 123

=====

Model C:
! Y2TlO, relaxed, DFT GGA-PBE; values from VASP
&SYSTEM
  ibrav = 0, nat = 8, ntyp = 3
/
ATOMIC_SPECIES
Y 88.91 Y.upf
Tl 204.38 Tl.upf
O 16.00 O.upf
CELL_PARAMETERS angstrom
-6.6968 0.4310 1.8314
-1.8428 -2.8675 -6.0637
-4.0504 -4.8765 -0.4529
ATOMIC_POSITIONS angstrom
Y -3.7257 -2.9108 -3.4760
Y -10.3106 -5.4791 -3.3871
Y -4.7042 -1.3548 0.0754
Y -6.4394 -4.8811 -2.5825
Tl -7.5085 -2.8318 -0.3688
Tl 0.0000 0.0000 0.0000
O -5.0815 -4.4811 -4.3163
O -4.2698 -1.2182 -2.1161
! volume	97	Å³/f.u.
! symmetry	I-42d, No. 122

=====

Going by the energies, model C is most stable and the next is 444 meV/atom up.